# LiGaTc3

An optimized crystal structure of LiGaTc3 (PBE-GGA, the Alexandria database).

Results
Energy of formation in eV per atom: 1.088
Theoretical density in g/cm³: 8.671
Final energy in eV/atom: -6.12
DOS at the Fermi energy in states/eV/f.u.: 3.9

```
data_LiGaTc3
_chemical_formula_sum 'Li1 Ga1 Tc3'
_space_group_name_H-M_alt 'P m -3 m'
_space_group_IT_number 221
_space_group_name_Hall '-P 4 2 3'
_cell_length_a 4.1405
_cell_length_b 4.1405
_cell_length_c 4.1405
_cell_angle_alpha 90.00
_cell_angle_beta 90.00
_cell_angle_gamma 90.00
loop_
_atom_site_label
_atom_site_type_symbol
_atom_site_fract_x
_atom_site_fract_y
_atom_site_fract_z
Li1 Li 0.0000 0.0000 0.0000
Ga1 Ga 0.5000 0.5000 0.5000
Tc1 Tc 0.0000 0.0000 0.5000
```

# Pr2Tc2Ge2C

An optimized crystal structure of Pr2Tc2Ge2C (PBE-GGA, the Alexandria database).

Results
Energy of formation in eV per atom: -0.555
Theoretical density in g/cm³: 7.763
Final energy in eV/atom: -7.52
DOS at the Fermi energy in states/eV/f.u.: 4.3

```
data_Pr2Tc2Ge2C
_chemical_formula_sum 'Pr4 Tc4 Ge4 C2'
_space_group_name_H-M_alt 'C 1 2/m 1'
_space_group_IT_number 12
_space_group_name_Hall '-C 2y'
_cell_length_a 11.2719
_cell_length_b 4.1400
_cell_length_c 7.2839
_cell_angle_alpha 90.00
_cell_angle_beta 126.94
_cell_angle_gamma 90.00
loop_
_atom_site_label
_atom_site_type_symbol
_atom_site_fract_x
_atom_site_fract_y
_atom_site_fract_z
Pr1 Pr 0.0672 0.0000 0.2975
Tc1 Tc 0.1989 0.5000 0.0838
Ge1 Ge 0.1546 0.5000 0.6999
C1 C 0.0000 0.5000 0.0000
```

# CsTlN2

An optimized crystal structure of CsTlN2 (PBE-GGA, the Alexandria database).

Results
Energy relative to the elements, uncorrected in eV per formula unit: 5.6
Theoretical density in g/cm³: 6.601
Final energy in eV/atom: -3.56
DOS at the Fermi energy in states/eV/f.u.: 0.0

```
data_CsTlN2
_chemical_formula_sum 'Cs3 Tl3 N6'
_space_group_name_H-M_alt 'R -3 m'
_space_group_IT_number 166
_space_group_name_Hall '-R 3 2"'
_cell_length_a 3.7358
_cell_length_b 3.7358
_cell_length_c 22.8099
_cell_angle_alpha 90.00
_cell_angle_beta 90.00
_cell_angle_gamma 120.00
loop_
_atom_site_label
_atom_site_type_symbol
_atom_site_fract_x
_atom_site_fract_y
_atom_site_fract_z
Cs1 Cs 0.0000 0.0000 0.0000
Tl1 Tl 0.0000 0.0000 0.5000
N1 N 0.0000 0.0000 0.1201
```

# Cr2GaCo2

An optimized crystal structure of Cr2GaCo2 (PBE-GGA, the Alexandria database).

Results
Energy of formation in eV per atom: 0.126
Theoretical density in g/cm³: 8.079
Final energy in eV/atom: -7.17
DOS at the Fermi energy in states/eV/f.u.: 5.0

```
data_Cr2GaCo2
_chemical_formula_sum 'Cr4 Ga2 Co4'
_space_group_name_H-M_alt 'P 4/m b m'
_space_group_IT_number 127
_space_group_name_Hall '-P 4 2ab'
_cell_length_a 6.8285
_cell_length_b 6.8285
_cell_length_c 2.5706
_cell_angle_alpha 90.00
_cell_angle_beta 90.00
_cell_angle_gamma 90.00
loop_
_atom_site_label
_atom_site_type_symbol
_atom_site_fract_x
_atom_site_fract_y
_atom_site_fract_z
Cr1 Cr 0.1706 0.3294 0.0000
Ga1 Ga 0.0000 0.0000 0.5000
Co1 Co 0.1241 0.6241 0.5000
```